Computed, not measured: an optimized crystal structure of SmPa2Os at the PBE level of DFT.

abc: 3.6713 3.6713 29.5837
angles: 90.00 90.00 120.00
Space group R-3m (No. 166, hexagonal axes)
Asymmetric unit:
Sm 0.0000 0.0000 0.0000
Pa 0.0000 0.0000 0.1080
Os 0.0000 0.0000 0.5000

Results
**E_form**: 308.2 meV per atom
**E above lowest polymorph**: 300 meV/atom
**Size of the total moment**: 0.325 μB per formula unit